4
Lattice="-2.987 -3.813 0.634 1.652 -4.542 -0.712 0.635 -2.993 3.808" Properties=species:S:1:pos:R:3 comment="TmPaRePd PBE-GGA optimized geometry" vol_a3_per_atom=20.61 mass_density_g_cm3=13.951 delta_e_f_ev_per_atom=-0.3012 spacegroup="No. 216" pbc="T T T"
Re -0.525 -8.511 2.798
Pa 0.000 0.000 0.000
Tm -0.350 -5.674 1.865
Pd -0.175 -2.837 0.933

16
Lattice="-5.586 3.698 4.175 -2.943 -6.691 -2.830 2.710 -4.358 7.485" Properties=species:S:1:pos:R:3 comment="Tl3GaCl4 PBE-GGA optimized geometry" vol_a3_per_atom=33.19 e_above_lowest_polymorph_mev_per_atom=0.0 raw_formation_energy_ev_per_atom=-0.926 mass_density_g_cm3=5.158 spacegroup="No. 13" pbc="T T T"
Tl -3.196 1.176 5.875
Tl 0.320 -1.836 5.785
Tl -3.987 -3.264 6.341
Tl -5.346 -1.078 2.587
Tl -1.833 -4.086 2.489
Tl -0.473 -6.272 6.244
Ga -1.847 -0.994 9.602
Ga -1.029 0.334 2.058
Cl -4.354 -0.739 8.278
Cl -1.314 -3.556 7.899
Cl -2.364 -1.297 3.972
Cl -0.487 -2.242 0.380
Cl -5.332 -5.108 8.450
Cl -3.455 -6.054 4.858
Cl -4.505 -3.795 0.931
Cl -1.465 -6.612 0.552

4
Lattice="-2.481 -2.859 -0.419 2.553 -1.884 -2.261 2.509 -2.954 5.295" Properties=species:S:1:pos:R:3 comment="TlSi2Pb PBE-GGA optimized geometry" vol_a3_per_atom=24.34 e_above_lowest_polymorph_mev_per_atom=359.4 raw_formation_energy_ev_per_atom=0.554 mass_density_g_cm3=7.978 spacegroup="No. 47" pbc="T T T"
Pb 1.918 -4.587 2.631
Si 0.155 -0.182 0.326
Si 1.100 -1.295 2.321
Tl 0.664 -3.110 -0.016